A plane-wave DFT calculation with PBE+U was carried out for BaHoCo4O7 after structural relaxation.

Cell: 6.340 6.340 10.212 Å, 90.00 90.00 119.69°
Sites, in units of the cell vectors:
Ba: 0.155 0.845 0.500
Ba: 0.845 0.155 0.000
Ho: 0.168 0.832 0.129
Ho: 0.832 0.168 0.629
Co: 0.166 0.332 0.310
Co: 0.329 0.671 0.811
Co: 0.332 0.166 0.810
Co: 0.498 0.502 0.552
Co: 0.502 0.498 0.052
Co: 0.668 0.834 0.310
Co: 0.671 0.329 0.311
Co: 0.834 0.668 0.810
O: 0.002 0.998 0.252
O: 0.003 0.502 0.250
O: 0.176 0.317 0.503
O: 0.317 0.176 0.003
O: 0.336 0.664 0.002
O: 0.497 0.503 0.741
O: 0.498 0.997 0.250
O: 0.502 0.003 0.750
O: 0.503 0.497 0.241
O: 0.664 0.336 0.502
O: 0.683 0.824 0.503
O: 0.824 0.683 0.003
O: 0.997 0.498 0.750
O: 0.998 0.002 0.752

Output
- spin magnetization (Bohr magnetons per cell) = 26.00
- total DFT energy (no corrections) (eV per atom) = -6.52
- space group = Cmc2_1 (36)